VASP calculation (PBE) on ErPt4Au after structural relaxation.

Total magnetic moment: 0.00 μB per cell
Volume: 17.98 Å³/atom
DOS at the Fermi energy: 6.41 states/eV/f.u.
Formation energy from the elements: -0.704 eV/atom

a = 7.556 Å, b = 7.556 Å, c = 7.556 Å
α = 90.00°, β = 90.00°, γ = 90.00°
Space group F-43m (No. 216)
Symmetry-distinct sites (fractional):
Er 0.000 0.000 0.000 x4
Pt 0.125 0.125 0.375 x16
Au 0.250 0.250 0.750 x4


VASP calculation (PBE) on Er5PtAu4 after structural relaxation.

Total magnetic moment: 0.00 μB per cell
Volume: 22.35 Å³/atom
DOS at the Fermi energy: 3.70 states/eV/f.u.
Formation energy from the elements: -0.962 eV/atom

a = 3.528 Å, b = 3.528 Å, c = 17.962 Å
α = 90.00°, β = 90.00°, γ = 90.00°
Space group P4/mmm (No. 123)
Symmetry-distinct sites (fractional):
Er 0.000 0.000 0.000 x1
Er 0.000 0.000 0.203 x2
Er 0.000 0.000 0.406 x2
Pt 0.500 0.500 0.500 x1
Au 0.500 0.500 0.101 x2
Au 0.500 0.500 0.302 x2


VASP calculation (PBE) on ErPtAu after structural relaxation.

Total magnetic moment: 0.00 μB per cell
Energy above the lowest structure with this stoichiometry: 0.0437 eV/atom
Volume: 19.82 Å³/atom
DOS at the Fermi energy: 0.91 states/eV/f.u.
Formation energy from the elements: -0.942 eV/atom

a = 6.773 Å, b = 5.232 Å, c = 6.753 Å
α = 90.00°, β = 96.41°, γ = 90.00°
Space group P2_1/c (No. 14)
Symmetry-distinct sites (fractional):
Er 0.235 0.127 0.000 x4
Pt 0.078 0.624 0.836 x4
Au 0.411 0.630 0.168 x4


VASP calculation (PBE) on Er2Pt3Au after structural relaxation.

Total magnetic moment: 0.00 μB per cell
Volume: 23.25 Å³/atom
DOS at the Fermi energy: 1.76 states/eV/f.u.
Formation energy from the elements: -0.742 eV/atom

a = 7.865 Å, b = 9.152 Å, c = 7.751 Å
α = 90.00°, β = 90.00°, γ = 90.00°
Space group Ibam (No. 72)
Symmetry-distinct sites (fractional):
Er 0.200 0.169 0.000 x8
Pt 0.000 0.000 0.250 x4
Pt 0.000 0.293 0.250 x8
Au 0.000 0.500 0.000 x4


> What is the formula in the second record?

Er5PtAu4


> Which value of total magnetic moment does entry 3 give?

0.00 μB per cell


Repeat the second record exactly.
VASP calculation (PBE) on Er5PtAu4 after structural relaxation.

Total magnetic moment: 0.00 μB per cell
Volume: 22.35 Å³/atom
DOS at the Fermi energy: 3.70 states/eV/f.u.
Formation energy from the elements: -0.962 eV/atom

a = 3.528 Å, b = 3.528 Å, c = 17.962 Å
α = 90.00°, β = 90.00°, γ = 90.00°
Space group P4/mmm (No. 123)
Symmetry-distinct sites (fractional):
Er 0.000 0.000 0.000 x1
Er 0.000 0.000 0.203 x2
Er 0.000 0.000 0.406 x2
Pt 0.500 0.500 0.500 x1
Au 0.500 0.500 0.101 x2
Au 0.500 0.500 0.302 x2